First-principles (PBE) data for a relaxed U2MnRu crystal, as listed in Alexandria via LeMat-Bulk.

a = 3.3957 Å, b = 3.3957 Å, c = 6.1206 Å
α = 90.00°, β = 90.00°, γ = 90.00°
Closest atoms and distances in Å follow each position.
Sites, in units of the cell vectors:
1 Mn 0.5000 0.5000 0.5000  8 U 2.73
2 U 0.0000 0.0000 0.7106  1 U 2.58, 4 Mn 2.73
3 U 0.0000 0.0000 0.2894  1 U 2.58, 4 Mn 2.73
4 Ru 0.5000 0.5000 0.0000  8 U 2.98, 2 Mn 3.06

Calculated volume, Å³ per atom: 17.6
ΔE_f, eV per atom: 0.07
Electronic total energy, eV per cell: -40.8
DOS at the Fermi energy, states/eV/cell: 7.66